Entry 1:
Here is an optimized crystal structure of AcTbTm4 from the Alexandria database. Energies are from PBE.

extended XYZ file:
```
12
Lattice="-5.415 -7.090 1.000 5.032 -2.471 3.573 -2.353 7.495 3.175" Properties=species:S:1:pos:R:3 pbc="T T T"
Tm -3.185 -3.241 5.375
Tm -0.887 2.543 5.250
Tm -1.922 -7.772 4.035
Tm -4.905 -2.855 1.880
Tm 0.449 1.174 2.372
Tm -0.815 5.705 3.713
Tm 2.169 0.788 5.868
Tm -1.849 -4.609 2.497
Ac -3.005 -0.011 3.794
Ac 0.269 -2.055 3.954
Tb -1.083 -0.613 6.856
Tb -1.653 -1.453 0.892
```

Properties
For the energy above the most stable polymorph in this dataset, the calculation gives 0.000 eV per atom. The volume is 32.688 A^3/atom. Its space group is C2/c. The magnetic moment comes out at 0.00 μB per formula unit. The total energy is -4.371 eV/atom.

Entry 2:
Here is an optimized crystal structure of Y2ZrGa from the Alexandria database. Energies are from PBE.

extended XYZ file:
```
4
Lattice="3.393 0.000 0.000 1.696 2.938 0.000 1.696 0.979 11.307" Properties=species:S:1:pos:R:3 pbc="T T T"
Y 5.089 2.938 3.006
Y 1.696 0.979 8.301
Ga 0.000 0.000 0.000
Zr 3.393 1.959 5.654
```

Properties
The volume is 28.179 A^3/atom. Its space group is R-3m. The magnetic moment comes out at 0.00 μB per formula unit. The total energy is -5.951 eV/atom.

Entry 3:
Here is an optimized crystal structure of LaCdTc3 from the Alexandria database. Energies are from PBE.

extended XYZ file:
```
5
Lattice="-2.719 -1.393 3.887 -1.577 -3.951 -2.519 3.816 -2.625 1.729" Properties=species:S:1:pos:R:3 pbc="T T T"
Tc -1.360 -0.697 1.944
Tc -0.788 -1.976 -1.260
Tc 1.908 -1.313 0.864
La -0.240 -3.985 1.548
Cd 0.000 0.000 0.000
```

Properties
For the energy above the most stable polymorph in this dataset, the calculation gives 0.000 eV per atom. The volume is 24.171 A^3/atom. Its space group is Pm-3m. The magnetic moment comes out at 4.12 μB per formula unit. The total energy is -5.617 eV/atom.

Entry 4:
Here is an optimized crystal structure of ZrW2Cl from the Alexandria database. Energies are from PBE.

extended XYZ file:
```
4
Lattice="-5.638 -1.072 -1.412 -2.114 -1.907 -5.180 4.146 -0.984 4.096" Properties=species:S:1:pos:R:3 pbc="T T T"
Cl -2.684 -1.773 -0.306
Zr -0.922 -2.190 -2.190
W -3.876 -1.489 -3.296
W 0.000 0.000 0.000
```

Properties
For the energy above the most stable polymorph in this dataset, the calculation gives 0.589 eV per atom. The volume is 18.100 A^3/atom. As for the uncorrected formation energy: 2.23 eV/f.u. Its space group is I4/mmm. The magnetic moment comes out at 0.00 μB per formula unit. The total energy is -8.519 eV/atom.

Entry 5:
Here is an optimized crystal structure of FePtSe2 from the Alexandria database. Energies are from PBE.

extended XYZ file:
```
4
Lattice="6.624 0.281 0.004 4.189 5.139 -0.004 -5.393 -2.736 2.717" Properties=species:S:1:pos:R:3 pbc="T T T"
Se 4.182 2.096 0.000
Se 1.225 0.614 0.000
Pt 2.101 2.557 1.357
Fe 3.319 0.127 1.361
```

Properties
For the energy above the most stable polymorph in this dataset, the calculation gives 0.000 eV per atom. The volume is 22.329 A^3/atom. As for the uncorrected formation energy: -0.73 eV/f.u. Its space group is Immm. The magnetic moment comes out at 3.46 μB per formula unit. The total energy is -5.550 eV/atom.

Entry 6:
Here is an optimized crystal structure of Tb4Sm3Au4 from the Alexandria database. Energies are from PBE.

extended XYZ file:
```
11
Lattice="-3.322 3.186 1.631 -3.987 -5.797 3.205 7.786 2.176 4.298" Properties=species:S:1:pos:R:3 pbc="T T T"
Sm -1.994 -2.899 1.602
Sm -0.366 -0.613 7.762
Sm 0.844 0.178 1.372
Tb -3.088 -2.255 5.425
Tb -1.369 0.244 4.044
Tb 1.847 -0.679 5.089
Tb 3.566 1.820 3.708
Au -4.895 -3.110 3.415
Au -0.303 -2.542 4.350
Au 0.780 2.107 4.783
Au -2.413 0.499 1.420
```

Properties
The volume is 27.225 A^3/atom. Its space group is Immm. The magnetic moment comes out at 0.00 μB per formula unit. The total energy is -4.722 eV/atom.

Entry 7:
Here is an optimized crystal structure of Ce3NpFe8 from the Alexandria database. Energies are from PBE.

extended XYZ file:
```
12
Lattice="4.829 0.000 1.458 2.195 4.302 1.458 -0.036 -0.022 8.847" Properties=species:S:1:pos:R:3 pbc="T T T"
Fe 4.793 2.936 10.305
Fe 5.466 1.872 8.076
Fe 1.302 0.798 4.414
Fe 3.059 1.874 2.948
Fe 6.561 4.018 8.804
Fe 4.152 4.018 8.076
Fe 4.159 4.029 3.679
Fe 5.479 1.874 3.679
Ce 3.501 2.144 5.859
Ce 2.602 1.594 8.836
Ce 7.017 4.297 2.940
Np 6.137 3.759 5.852
```

Properties
The volume is 15.342 A^3/atom. Its space group is R3m. The magnetic moment comes out at 6.89 μB per formula unit. The total energy is -8.266 eV/atom.

Entry 8:
Here is an optimized crystal structure of LiHoAlNi from the Alexandria database. Energies are from PBE.

extended XYZ file:
```
4
Lattice="4.541 0.000 0.000 2.271 3.933 0.000 2.271 1.311 3.708" Properties=species:S:1:pos:R:3 pbc="T T T"
Li 2.271 1.311 0.927
Ho 4.541 2.622 1.854
Al 0.000 0.000 0.000
Ni 6.812 3.933 2.781
```

Properties
The volume is 16.555 A^3/atom. Its space group is F-43m. The magnetic moment comes out at 0.00 μB per formula unit. The total energy is -4.364 eV/atom.

Entry 9:
Here is an optimized crystal structure of PuUAu2 from the Alexandria database. Energies are from PBE.

extended XYZ file:
```
4
Lattice="3.170 0.000 0.000 0.000 3.170 0.000 0.000 0.000 8.859" Properties=species:S:1:pos:R:3 pbc="T T T"
Pu 1.585 1.585 0.000
Au 0.000 0.000 2.249
Au 0.000 0.000 6.610
U 1.585 1.585 4.429
```

Properties
For the energy above the most stable polymorph in this dataset, the calculation gives 0.000 eV per atom. The volume is 22.256 A^3/atom. Its space group is P4/mmm. The magnetic moment comes out at 2.66 μB per formula unit. The total energy is -8.249 eV/atom.

Entry 10:
Here is an optimized crystal structure of Sc3Sb from the Alexandria database. Energies are from PBE.

extended XYZ file:
```
8
Lattice="-3.288 -4.248 -3.472 6.377 -0.384 0.322 -0.386 -3.015 4.054" Properties=species:S:1:pos:R:3 pbc="T T T"
Sc 2.832 -5.403 1.001
Sc -0.130 -2.244 -0.098
Sc -1.763 -4.353 -1.822
Sc 1.299 -3.103 2.566
Sc 1.404 -4.543 -1.662
Sc 4.465 -3.293 2.726
Sb -0.356 -5.221 0.833
Sb 3.059 -2.425 0.071
```

Properties
For the energy above the most stable polymorph in this dataset, the calculation gives 0.048 eV per atom. The volume is 22.441 A^3/atom. As for the uncorrected formation energy: -2.00 eV/f.u. Its space group is P6_3/mmc. The magnetic moment comes out at 0.01 μB per formula unit. The total energy is -6.280 eV/atom.

Entry 11:
Here is an optimized crystal structure of V2Ga2Ge from the Alexandria database. Energies are from PBE.

extended XYZ file:
```
10
Lattice="6.421 -1.178 -0.362 -3.286 5.641 -0.362 -1.677 -2.387 5.157" Properties=species:S:1:pos:R:3 pbc="T T T"
Ga -1.897 1.366 4.701
Ga 3.355 0.710 -0.267
Ga 3.545 -1.206 2.311
Ga -2.087 3.282 2.122
V -0.566 -0.610 3.687
V 2.024 2.686 0.746
V 0.174 2.203 3.325
V 1.284 -0.127 1.108
Ge 2.134 0.826 3.325
Ge -0.676 1.250 1.108
```

Properties
For the energy above the most stable polymorph in this dataset, the calculation gives 0.131 eV per atom. The volume is 15.430 A^3/atom. Its space group is C2/c. The magnetic moment comes out at 0.00 μB per formula unit. The total energy is -5.767 eV/atom.

Entry 12:
Here is an optimized crystal structure of Ba2LaPt from the Alexandria database. Energies are from PBE.

extended XYZ file:
```
8
Lattice="4.269 0.000 -0.005 0.000 4.269 0.000 0.018 0.000 19.734" Properties=species:S:1:pos:R:3 pbc="T T T"
La 1.078 1.432 11.247
La 3.209 3.566 8.483
Ba 3.219 3.573 14.568
Ba 1.086 1.443 18.038
Ba 1.068 1.438 5.161
Ba 3.201 3.577 1.691
Pt 3.213 3.566 11.428
Pt 1.074 1.432 8.301
```

Properties
For the energy above the most stable polymorph in this dataset, the calculation gives 0.000 eV per atom. The volume is 44.957 A^3/atom. Its space group is Pmn2_1. The magnetic moment comes out at 0.01 μB per formula unit. The total energy is -4.281 eV/atom.

> Number 10 is which compound?

Sc3Sb